Density functional theory data (PBE-GGA) for an optimized crystal structure of CeThCoRu.

```
data_CeThCoRu
_chemical_formula_sum 'Ce4 Th4 Co4 Ru4'
_space_group_name_H-M_alt 'F -4 3 m'
_space_group_IT_number 216
_space_group_name_Hall 'F -4 2 3'
_cell_length_a 6.921
_cell_length_b 6.921
_cell_length_c 6.921
_cell_angle_alpha 90.00
_cell_angle_beta 90.00
_cell_angle_gamma 90.00
loop_
_atom_site_label
_atom_site_fract_x
_atom_site_fract_y
_atom_site_fract_z
_atom_site_occupancy
Ce1 0.000 0.000 0.000 1
Th1 0.000 0.000 0.500 1
Co1 0.250 0.250 0.750 1
Ru1 0.250 0.250 0.250 1
```

Calculated values
volume: 331.51 Å³ per cell
formation energy: -79 kJ/mol of formula units

Density functional theory data (PBE-GGA) for an optimized crystal structure of PtSe2S.

```
data_PtSe2S
_chemical_formula_sum 'Pt2 Se4 S2'
_space_group_name_H-M_alt 'P -1'
_space_group_IT_number 2
_cell_length_a 3.746
_cell_length_b 6.525
_cell_length_c 9.147
_cell_angle_alpha 110.57
_cell_angle_beta 101.75
_cell_angle_gamma 90.02
loop_
_space_group_symop_operation_xyz
'x,y,z'
'-x,-y,-z'
loop_
_atom_site_label
_atom_site_fract_x
_atom_site_fract_y
_atom_site_fract_z
_atom_site_occupancy
Pt1 0.250 0.250 0.000 1
Se1 0.172 0.841 0.842 1
Se2 0.328 0.657 0.157 1
S1 0.001 0.854 0.502 1
```

Calculated values
volume: 204.32 Å³ per cell
energy relative to the elements, uncorrected: -0.17 eV/atom

Density functional theory data (PBE-GGA) for an optimized crystal structure of NaTiHg2O4.

```
data_NaTiHg2O4
_chemical_formula_sum 'Na2 Ti2 Hg4 O8'
_space_group_name_H-M_alt 'I -4 2 m'
_space_group_IT_number 121
_space_group_name_Hall 'I -4 2'
_cell_length_a 5.129
_cell_length_b 5.129
_cell_length_c 10.235
_cell_angle_alpha 90.00
_cell_angle_beta 90.00
_cell_angle_gamma 90.00
loop_
_atom_site_label
_atom_site_fract_x
_atom_site_fract_y
_atom_site_fract_z
_atom_site_occupancy
Na1 0.000 0.000 0.000 1
Ti1 0.000 0.000 0.500 1
Hg1 0.000 0.500 0.250 1
O1 0.210 0.210 0.397 1
```

Calculated values
volume: 269.31 Å³ per cell
energy relative to the elements, uncorrected: -1.48 eV/atom

Density functional theory data (PBE-GGA) for an optimized crystal structure of CrGa.

```
data_CrGa
_chemical_formula_sum 'Cr4 Ga4'
_space_group_name_H-M_alt 'P 42/m n m'
_space_group_IT_number 136
_space_group_name_Hall '-P 4n 2n'
_cell_length_a 4.939
_cell_length_b 4.939
_cell_length_c 4.970
_cell_angle_alpha 90.00
_cell_angle_beta 90.00
_cell_angle_gamma 90.00
loop_
_atom_site_label
_atom_site_fract_x
_atom_site_fract_y
_atom_site_fract_z
_atom_site_occupancy
Cr1 0.183 0.183 0.000 1
Ga1 0.190 0.190 0.500 1
```

Calculated values
volume: 121.25 Å³ per cell
formation energy: 105 kJ/mol of formula units

Density functional theory data (PBE-GGA) for an optimized crystal structure of Zr2ZnH.

```
data_Zr2ZnH
_chemical_formula_sum 'Zr8 Zn4 H4'
_space_group_name_H-M_alt 'I m m m'
_space_group_IT_number 71
_space_group_name_Hall '-I 2 2'
_cell_length_a 3.319
_cell_length_b 5.725
_cell_length_c 13.716
_cell_angle_alpha 90.00
_cell_angle_beta 90.00
_cell_angle_gamma 90.00
loop_
_atom_site_label
_atom_site_fract_x
_atom_site_fract_y
_atom_site_fract_z
_atom_site_occupancy
Zr1 0.000 0.000 0.202 1
Zr2 0.000 0.257 0.500 1
Zn1 0.000 0.500 0.136 1
H1 0.000 0.500 0.387 1
```

Calculated values
volume: 260.59 Å³ per cell
energy relative to the lowest polymorph listed for this composition: 0.0000 eV/atom

Density functional theory data (PBE-GGA) for an optimized crystal structure of ScNb2RuPb.

```
data_ScNb2RuPb
_chemical_formula_sum 'Sc1 Nb2 Ru1 Pb1'
_space_group_name_H-M_alt 'P 4/m m m'
_space_group_IT_number 123
_space_group_name_Hall '-P 4 2'
_cell_length_a 4.920
_cell_length_b 4.920
_cell_length_c 5.193
_cell_angle_alpha 90.00
_cell_angle_beta 90.00
_cell_angle_gamma 90.00
loop_
_atom_site_label
_atom_site_fract_x
_atom_site_fract_y
_atom_site_fract_z
_atom_site_occupancy
Sc1 0.000 0.000 0.000 1
Nb1 0.000 0.500 0.500 1
Ru1 0.500 0.500 0.500 1
Pb1 0.500 0.500 0.000 1
```

Calculated values
volume: 125.72 Å³ per cell
formation energy: 382 kJ/mol of formula units

Density functional theory data (PBE-GGA) for an optimized crystal structure of YCuSe2.

```
data_YCuSe2
_chemical_formula_sum 'Y1 Cu1 Se2'
_space_group_name_H-M_alt 'P 1 m 1'
_space_group_IT_number 6
_cell_length_a 3.847
_cell_length_b 4.209
_cell_length_c 5.883
_cell_angle_alpha 90.00
_cell_angle_beta 108.52
_cell_angle_gamma 90.00
loop_
_space_group_symop_operation_xyz
'x,y,z'
'x,-y,z'
loop_
_atom_site_label
_atom_site_fract_x
_atom_site_fract_y
_atom_site_fract_z
_atom_site_occupancy
Y1 0.000 0.000 0.000 1
Cu1 0.622 0.500 0.258 1
Se1 0.416 0.500 0.834 1
Se2 0.721 0.000 0.432 1
```

Calculated values
volume: 90.32 Å³ per cell
energy relative to the elements, uncorrected: -1.10 eV/atom

Density functional theory data (PBE-GGA) for an optimized crystal structure of VSnRh2.

```
data_VSnRh2
_chemical_formula_sum 'V4 Sn4 Rh8'
_space_group_name_H-M_alt 'I -4 2 d'
_space_group_IT_number 122
_space_group_name_Hall 'I -4 2bw'
_cell_length_a 4.057
_cell_length_b 4.057
_cell_length_c 16.984
_cell_angle_alpha 90.00
_cell_angle_beta 90.00
_cell_angle_gamma 90.00
loop_
_atom_site_label
_atom_site_fract_x
_atom_site_fract_y
_atom_site_fract_z
_atom_site_occupancy
V1 0.000 0.000 0.000 1
Sn1 0.000 0.000 0.500 1
Rh1 0.224 0.250 0.125 1
```

Calculated values
volume: 279.58 Å³ per cell
formation energy: 45 kJ/mol of formula units

Density functional theory data (PBE-GGA) for an optimized crystal structure of Pm7Si2N2.

```
data_Pm7Si2N2
_chemical_formula_sum 'Pm14 Si4 N4'
_space_group_name_H-M_alt 'C 1 2/m 1'
_space_group_IT_number 12
_cell_length_a 11.253
_cell_length_b 7.404
_cell_length_c 6.377
_cell_angle_alpha 90.00
_cell_angle_beta 95.69
_cell_angle_gamma 90.00
loop_
_space_group_symop_operation_xyz
'x,y,z'
'-x,-y,-z'
'-x,y,-z'
'x,-y,z'
'x+1/2,y+1/2,z'
'-x+1/2,-y+1/2,-z'
'-x+1/2,y+1/2,-z'
'x+1/2,-y+1/2,z'
loop_
_atom_site_label
_atom_site_fract_x
_atom_site_fract_y
_atom_site_fract_z
_atom_site_occupancy
Pm1 0.000 0.000 0.000 1
Pm2 0.064 0.500 0.767 1
Pm3 0.219 0.283 0.237 1
Si1 0.000 0.162 0.500 1
N1 0.228 0.000 0.037 1
```

Calculated values
volume: 528.74 Å³ per cell
energy relative to the elements, uncorrected: -0.55 eV/atom

Density functional theory data (PBE-GGA) for an optimized crystal structure of Sr4CaCl10.

```
data_Sr4CaCl10
_chemical_formula_sum 'Sr8 Ca2 Cl20'
_space_group_name_H-M_alt 'I m m m'
_space_group_IT_number 71
_space_group_name_Hall '-I 2 2'
_cell_length_a 4.950
_cell_length_b 6.992
_cell_length_c 24.667
_cell_angle_alpha 90.00
_cell_angle_beta 90.00
_cell_angle_gamma 90.00
loop_
_atom_site_label
_atom_site_fract_x
_atom_site_fract_y
_atom_site_fract_z
_atom_site_occupancy
Sr1 0.000 0.000 0.098 1
Sr2 0.000 0.000 0.301 1
Ca1 0.000 0.000 0.500 1
Cl1 0.000 0.246 0.403 1
Cl2 0.000 0.249 0.199 1
Cl3 0.000 0.260 0.000 1
```

Calculated values
volume: 853.71 Å³ per cell
energy relative to the elements, uncorrected: -2.46 eV/atom